[1]
VASP calculation (PBE) on a geometry-optimized InB structure.

## Properties
Total magnetic moment ... 0.00 μB/atom
Energy of formation from the pure elements ... 0.65 eV per atom
Calculated total energy ... -4.054 eV per atom

a = 4.148 Å, b = 11.601 Å, c = 4.842 Å
α = 90.00°, β = 90.00°, γ = 90.00°
Space group Pmmn (No. 59, origin choice 2)
Asymmetric unit:
In1 0.250 0.027 0.246 [4 per cell]
In2 0.250 0.750 0.246 [2 per cell]
B1 0.250 0.614 0.817 [4 per cell]
B2 0.250 0.750 0.744 [2 per cell]



[2]
VASP calculation (PBE) on a geometry-optimized Ac2Zn2Ir structure.

## Properties
Total magnetic moment ... 0.00 μB/atom
Energy of formation from the pure elements ... -0.46 eV per atom
Calculated total energy ... -4.389 eV per atom

a = 11.776 Å, b = 4.199 Å, c = 12.279 Å
α = 90.00°, β = 117.45°, γ = 90.00°
Space group C2/m (No. 12)
Asymmetric unit:
Ac1 0.089 0.000 0.381 [4 per cell]
Ac2 0.213 0.500 0.136 [4 per cell]
Zn1 0.033 0.000 0.913 [4 per cell]
Zn2 0.123 0.500 0.619 [4 per cell]
Ir1 0.075 0.500 0.809 [4 per cell]



[3]
VASP calculation (PBE) on a geometry-optimized Na3CdPd8 structure.

## Properties
Total magnetic moment ... 0.00 μB/atom
Energy of formation from the pure elements ... -0.17 eV per atom
Calculated total energy ... -4.033 eV per atom

a = 5.3576 Å, b = 5.3576 Å, c = 26.2919 Å
α = 90.00°, β = 90.00°, γ = 120.00°
Space group R3m (No. 160, hexagonal axes)
Asymmetric unit:
Na1 0.0000 0.0000 0.0000 [3 per cell]
Na2 0.0000 0.0000 0.1246 [3 per cell]
Na3 0.0000 0.0000 0.4986 [3 per cell]
Cd1 0.0000 0.0000 0.6248 [3 per cell]
Pd1 0.0000 0.0000 0.3117 [3 per cell]
Pd2 0.0000 0.0000 0.8117 [3 per cell]
Pd3 0.0016 0.5008 0.5631 [9 per cell]
Pd4 0.1675 0.3349 0.3938 [9 per cell]



[4]
VASP calculation (PBE) on a geometry-optimized K7Hg2Au2 structure.

## Properties
Total magnetic moment ... 0.00 μB/atom
Energy of formation from the pure elements ... -0.19 eV per atom
Calculated total energy ... -1.540 eV per atom

a = 8.426 Å, b = 11.358 Å, c = 9.820 Å
α = 90.00°, β = 97.23°, γ = 90.00°
Space group C2/m (No. 12)
Asymmetric unit:
K1 0.000 0.000 0.000 [2 per cell]
K2 0.209 0.291 0.222 [8 per cell]
K3 0.248 0.500 0.552 [4 per cell]
Hg1 0.101 0.500 0.888 [4 per cell]
Au1 0.000 0.241 0.500 [4 per cell]



[5]
VASP calculation (PBE) on a geometry-optimized CoNiPdAu structure.

## Properties
Total magnetic moment ... 0.68 μB/atom
Energy of formation from the pure elements ... 0.17 eV per atom
Calculated total energy ... -5.172 eV per atom

a = 6.080 Å, b = 6.080 Å, c = 6.080 Å
α = 90.00°, β = 90.00°, γ = 90.00°
Space group F-43m (No. 216)
Asymmetric unit:
Co1 0.000 0.000 0.000 [4 per cell]
Ni1 0.000 0.000 0.500 [4 per cell]
Pd1 0.250 0.250 0.250 [4 per cell]
Au1 0.250 0.250 0.750 [4 per cell]



[6]
VASP calculation (PBE) on a geometry-optimized TbPr8Nd3 structure.

## Properties
Total magnetic moment ... 0.00 μB/atom
Energy of formation from the pure elements ... 0.53 eV per atom
Calculated total energy ... -4.232 eV per atom

a = 8.926 Å, b = 8.926 Å, c = 11.730 Å
α = 90.00°, β = 90.00°, γ = 90.00°
Space group I-42m (No. 121)
Asymmetric unit:
Tb1 0.000 0.000 0.000 [2 per cell]
Pr1 0.124 0.124 0.248 [8 per cell]
Pr2 0.248 0.248 0.995 [8 per cell]
Nd1 0.000 0.000 0.500 [2 per cell]
Nd2 0.000 0.500 0.250 [4 per cell]



[7]
VASP calculation (PBE) on a geometry-optimized TmMgGe structure.

## Properties
Total magnetic moment ... 0.00 μB/atom
Energy of formation from the pure elements ... -0.28 eV per atom
Calculated total energy ... -3.845 eV per atom

a = 8.121 Å, b = 11.851 Å, c = 12.211 Å
α = 90.00°, β = 90.00°, γ = 90.00°
Space group Fddd (No. 70, origin choice 2)
Asymmetric unit:
Tm1 0.000 0.000 0.000 [16 per cell]
Mg1 0.125 0.125 0.500 [16 per cell]
Ge1 0.125 0.313 0.625 [16 per cell]



[8]
VASP calculation (PBE) on a geometry-optimized La2Cl structure.

## Properties
Total magnetic moment ... 0.00 μB/atom
Energy relative to the elements, uncorrected ... -0.856 eV per atom
Calculated total energy ... -4.756 eV per atom

a = 11.569 Å, b = 3.649 Å, c = 8.572 Å
α = 90.00°, β = 90.43°, γ = 90.00°
Space group C2/m (No. 12)
Asymmetric unit:
La1 0.127 0.000 0.087 [4 per cell]
La2 0.144 0.000 0.643 [4 per cell]
Cl1 0.094 0.500 0.366 [4 per cell]



[9]
VASP calculation (PBE) on a geometry-optimized MgScBiPd structure.

## Properties
Total magnetic moment ... 0.00 μB/atom
Energy of formation from the pure elements ... -0.48 eV per atom
Calculated total energy ... -4.729 eV per atom

a = 6.969 Å, b = 6.969 Å, c = 6.969 Å
α = 90.00°, β = 90.00°, γ = 90.00°
Space group F-43m (No. 216)
Asymmetric unit:
Mg1 0.000 0.000 0.000 [4 per cell]
Sc1 0.000 0.000 0.500 [4 per cell]
Bi1 0.250 0.250 0.250 [4 per cell]
Pd1 0.250 0.250 0.750 [4 per cell]